A plane-wave DFT calculation with PBE was carried out for a relaxed LiZnSO4 crystal.

Final energy   -72.51 eV/cell
Total magnetization   0.000 Bohr magnetons per cell
Formation energy (no corrections)   -1301 meV/atom
Crystal system   orthorhombic

Lattice parameters (Å, degrees): 5.170 7.069 7.069 49.58 68.55 68.55
Fractional positions:
O1 0.327 0.215 0.131
Zn1 0.500 0.000 0.500
Li1 0.000 0.500 0.500
O2 0.710 0.279 0.779
S1 0.400 0.350 0.850
O3 0.290 0.721 0.221
O4 0.233 0.279 0.779
O5 0.767 0.721 0.221
O6 0.673 0.785 0.869
Li2 0.000 0.000 0.000
O7 0.673 0.369 0.285
S2 0.600 0.650 0.150
O8 0.327 0.631 0.715
Zn2 0.000 0.000 0.500

A plane-wave DFT calculation with PBE was carried out for a relaxed Li2ZrSO8 crystal.

Final energy   -68.56 eV/cell
Total magnetization   4.018 Bohr magnetons per cell
Formation energy (no corrections)   -1033 meV/atom
Crystal system   trigonal

Lattice parameters (Å, degrees): 5.082 5.082 5.571 90.00 90.00 120.00
Site moments in Bohr magnetons follow the coordinates.
Fractional positions:
O1 0.667 0.333 0.443  1.10
O2 0.150 0.850 0.178  0.21
O3 0.150 0.301 0.178  0.21
Zr1 0.000 0.000 0.500  -0.10
O4 0.301 0.150 0.822  0.21
O5 0.333 0.667 0.557  1.10
O6 0.850 0.150 0.822  0.21
S1 0.000 0.000 0.000  -0.01
Li1 0.333 0.667 0.974  0.00
Li2 0.667 0.333 0.026  0.00
O7 0.850 0.699 0.822  0.21
O8 0.699 0.850 0.178  0.21

A plane-wave DFT calculation with PBE was carried out for a relaxed LiZrS2O8 crystal.

Final energy   -79.20 eV/cell
Total magnetization   0.992 Bohr magnetons per cell
Formation energy (no corrections)   -1734 meV/atom
Crystal system   trigonal

Lattice parameters (Å, degrees): 5.307 5.307 6.487 90.00 90.00 120.00
Site moments in Bohr magnetons follow the coordinates.
Fractional positions:
O1 0.180 0.820 0.717  0.00
O2 0.180 0.360 0.717  0.00
S1 0.333 0.667 0.799  0.02
O3 0.820 0.180 0.283  0.00
O4 0.333 0.667 0.021  0.00
O5 0.640 0.820 0.717  0.00
O6 0.667 0.333 0.979  0.00
S2 0.667 0.333 0.201  0.02
O7 0.360 0.180 0.283  0.00
O8 0.820 0.640 0.283  0.00
Li1 0.000 0.000 0.000  0.00
Zr1 0.000 0.000 0.500  0.71

A plane-wave DFT calculation with PBE was carried out for a relaxed Li3SbO crystal.

Final energy   -14.22 eV/cell
Total magnetization   2.000 Bohr magnetons per cell
Energy relative to the lowest polymorph listed for this composition   636.6 kJ/mol of formula units
Formation energy (no corrections)   119 meV/atom
Crystal system   cubic

Lattice parameters (Å, degrees): 5.191 5.191 5.191 90.00 90.00 90.00
Site moments in Bohr magnetons follow the coordinates.
Fractional positions:
O1 0.500 0.500 0.500  1.11
Li1 0.500 0.000 0.000  0.01
Sb1 0.000 0.000 0.000  0.23
Li2 0.000 0.000 0.500  0.01
Li3 0.000 0.500 0.000  0.01

A plane-wave DFT calculation with PBE was carried out for a relaxed LiSbO2 crystal.

Final energy   -19.89 eV/cell
Total magnetization   0.000 Bohr magnetons per cell
Formation energy (no corrections)   -985 meV/atom
Crystal system   trigonal

Lattice parameters (Å, degrees): 6.237 6.237 6.237 29.42 29.42 29.42
Fractional positions:
O1 0.107 0.107 0.107
O2 0.893 0.893 0.893
Sb1 0.000 0.000 0.000
Li1 0.500 0.500 0.500

A plane-wave DFT calculation with PBE was carried out for a relaxed Li5SbO6 crystal.

Final energy   -62.72 eV/cell
Total magnetization   2.020 Bohr magnetons per cell
Formation energy (no corrections)   -1606 meV/atom
Crystal system   monoclinic

Lattice parameters (Å, degrees): 5.138 5.195 5.241 60.29 80.09 69.69
Site moments in Bohr magnetons follow the coordinates.
Fractional positions:
O1 0.229 0.244 0.000  0.38
O2 0.757 0.390 0.687  0.24
Li1 0.000 0.671 0.658  -0.01
Li2 0.500 0.189 0.622  -0.01
O3 0.243 0.923 0.687  0.24
Sb1 0.000 0.000 0.000  -0.03
O4 0.771 0.756 0.000  0.38
Li3 0.000 0.329 0.342  -0.01
O5 0.757 0.077 0.313  0.24
O6 0.243 0.610 0.313  0.24
Li4 0.500 0.811 0.378  -0.01
Li5 0.500 0.500 0.000  -0.01

A plane-wave DFT calculation with PBE was carried out for a relaxed Li3SbO crystal.

Final energy   -19.80 eV/cell
Total magnetization   0.000 Bohr magnetons per cell
Energy relative to the lowest polymorph listed for this composition   98.5 kJ/mol of formula units
Formation energy (no corrections)   -996 meV/atom
Crystal system   cubic

Lattice parameters (Å, degrees): 4.079 4.079 4.079 90.00 90.00 90.00
Fractional positions:
O1 0.000 0.000 0.000
Li1 0.000 0.500 0.000
Sb1 0.500 0.500 0.500
Li2 0.500 0.000 0.000
Li3 0.000 0.000 0.500

A plane-wave DFT calculation with PBE was carried out for a relaxed Li5Sb3O12 crystal.

Final energy   -413.03 eV/cell
Total magnetization   16.258 Bohr magnetons per cell
Formation energy (no corrections)   -1091 meV/atom
Crystal system   cubic

Lattice parameters (Å, degrees): 10.187 10.187 10.187 109.47 109.47 109.47
Site moments in Bohr magnetons follow the coordinates.
Fractional positions:
O1 0.050 0.636 0.732  0.29
O2 0.864 0.268 0.450  0.29
O3 0.450 0.768 0.864  0.29
Sb1 0.375 0.625 0.250  -0.03
Li1 0.625 0.875 0.250  -0.01
O4 0.904 0.085 0.636  0.29
O5 0.915 0.818 0.550  0.29
Li2 0.750 0.125 0.875  -0.01
O6 0.818 0.915 0.050  0.29
Li3 0.500 0.500 0.500  0.01
O7 0.318 0.550 0.415  0.29
O8 0.096 0.915 0.364  0.29
O9 0.268 0.864 0.950  0.29
O10 0.732 0.136 0.050  0.29
Sb2 0.875 0.750 0.125  -0.03
O11 0.050 0.415 0.818  0.29
Li4 0.000 0.000 0.000  0.01
Sb3 0.375 0.750 0.625  -0.03
O12 0.904 0.818 0.768  0.29
Li5 0.125 0.375 0.250  -0.01
Sb4 0.750 0.375 0.125  -0.03
O13 0.682 0.450 0.585  0.29
O14 0.818 0.904 0.268  0.29
O15 0.136 0.732 0.550  0.29
Li6 0.875 0.250 0.625  -0.01
Li7 0.375 0.125 0.750  -0.01
O16 0.182 0.096 0.732  0.29
Li8 0.500 0.000 0.500  0.01
Li9 0.250 0.875 0.125  -0.01
Sb5 0.125 0.250 0.875  -0.03
O17 0.596 0.864 0.415  0.29
O18 0.182 0.085 0.950  0.29
Li10 0.500 0.000 0.000  0.01
O19 0.950 0.364 0.268  0.29
Li11 0.750 0.625 0.375  -0.01
Li12 0.625 0.750 0.875  -0.01
O20 0.268 0.404 0.818  0.29
O21 0.404 0.136 0.585  0.29
Sb6 0.125 0.875 0.750  -0.03
O22 0.136 0.404 0.085  0.29
Li13 0.000 0.500 0.000  0.01
Sb7 0.875 0.125 0.250  -0.03
O23 0.404 0.268 0.318  0.29
O24 0.232 0.550 0.636  0.29
O25 0.450 0.682 0.085  0.29
Li14 0.125 0.750 0.375  -0.01
O26 0.950 0.585 0.182  0.29
O27 0.085 0.904 0.136  0.29
O28 0.232 0.682 0.096  0.29
O29 0.364 0.415 0.096  0.29
Li15 0.875 0.625 0.750  -0.01
Sb8 0.250 0.625 0.875  -0.03
O30 0.318 0.768 0.404  0.29
O31 0.415 0.050 0.318  0.29
Li16 0.500 0.500 0.000  0.01
O32 0.915 0.096 0.864  0.29
O33 0.636 0.585 0.904  0.29
O34 0.636 0.050 0.232  0.29
O35 0.585 0.636 0.404  0.29
O36 0.768 0.318 0.904  0.29
O37 0.085 0.182 0.450  0.29
Li17 0.375 0.250 0.125  -0.01
O38 0.415 0.364 0.596  0.29
O39 0.732 0.596 0.182  0.29
O40 0.364 0.950 0.768  0.29
Sb9 0.750 0.875 0.625  -0.03
Li18 0.000 0.500 0.500  0.01
O41 0.768 0.450 0.364  0.29
O42 0.550 0.232 0.136  0.29
O43 0.585 0.950 0.682  0.29
O44 0.096 0.182 0.232  0.29
O45 0.682 0.232 0.596  0.29
Li19 0.000 0.000 0.500  0.01
O46 0.550 0.318 0.915  0.29
Sb10 0.250 0.125 0.375  -0.03
O47 0.864 0.596 0.915  0.29
Sb11 0.625 0.250 0.375  -0.03
Li20 0.250 0.375 0.625  -0.01
O48 0.596 0.732 0.682  0.29
Sb12 0.625 0.375 0.750  -0.03